HgPSe2N | PBE | optimized geometry

Lattice parameters (Å, degrees): 5.253 5.253 3.271 90.00 90.00 90.00
Space group P4/mmm (No. 123)
One atom of each set of equivalent atoms:
Hg (0.000, 0.000, 0.000) x1
P (0.500, 0.500, 0.500) x1
Se (0.000, 0.500, 0.500) x2
N (0.500, 0.500, 0.000) x1

- Distance to the lowest polymorph of the same formula: 0.0 meV per atom
- E_form (uncorrected): 0.513 eV per atom
- Total magnetization: 0.00 Bohr magnetons per cell
- Total energy: -18.44 eV/cell